Entry 1:
# Ca2AcTl (GGA-PBE, optimized geometry)
data_Ca2AcTl
_chemical_formula_sum 'Ca2 Ac1 Tl1'
_symmetry_space_group_name_H-M 'P 1'
_symmetry_Int_Tables_number 1
_symmetry_space_group_name_Hall 'P 1'
_cell_length_a 5.881
_cell_length_b 5.881
_cell_length_c 5.881
_cell_angle_alpha 60.00
_cell_angle_beta 60.00
_cell_angle_gamma 60.00
loop_
_atom_site_label
_atom_site_type_symbol
_atom_site_fract_x
_atom_site_fract_y
_atom_site_fract_z
Ac1 Ac 0.500 0.500 0.500
Ca1 Ca 0.750 0.750 0.750
Tl1 Tl 0.000 0.000 0.000
Ca2 Ca 0.250 0.250 0.250
# energy of formation	0.00	eV/atom
# space group	No. 225
# energy above the lowest structure with this stoichiometry	4.78	kcal/mol of atoms
# M_tot	0.00	μB per formula unit

Entry 2:
# Ca5AcTl4 (GGA-PBE, optimized geometry)
data_Ca5AcTl4
_chemical_formula_sum 'Ca5 Ac1 Tl4'
_symmetry_space_group_name_H-M 'P 1'
_symmetry_Int_Tables_number 1
_symmetry_space_group_name_Hall 'P 1'
_cell_length_a 3.849
_cell_length_b 3.849
_cell_length_c 21.752
_cell_angle_alpha 90.00
_cell_angle_beta 90.00
_cell_angle_gamma 90.00
loop_
_atom_site_label
_atom_site_type_symbol
_atom_site_fract_x
_atom_site_fract_y
_atom_site_fract_z
Tl1 Tl 0.000 0.000 0.592
Ca1 Ca 0.500 0.500 0.500
Ca2 Ca 0.500 0.500 0.864
Tl2 Tl 0.000 0.000 0.408
Tl3 Tl 0.000 0.000 0.224
Ac1 Ac 0.000 0.000 0.000
Ca3 Ca 0.500 0.500 0.683
Ca4 Ca 0.500 0.500 0.136
Tl4 Tl 0.000 0.000 0.776
Ca5 Ca 0.500 0.500 0.317
# energy of formation	-0.34	eV/atom
# space group	No. 123
# M_tot	0.00	μB per formula unit

Entry 3:
# CaAcTl (GGA-PBE, optimized geometry)
data_CaAcTl
_chemical_formula_sum 'Ca2 Ac2 Tl2'
_symmetry_space_group_name_H-M 'P 1'
_symmetry_Int_Tables_number 1
_symmetry_space_group_name_Hall 'P 1'
_cell_length_a 5.797
_cell_length_b 5.797
_cell_length_c 7.261
_cell_angle_alpha 90.00
_cell_angle_beta 90.00
_cell_angle_gamma 120.01
loop_
_atom_site_label
_atom_site_type_symbol
_atom_site_fract_x
_atom_site_fract_y
_atom_site_fract_z
Ca1 Ca 0.000 0.500 0.500
Ac1 Ac 0.667 0.833 0.250
Tl1 Tl 0.667 0.833 0.750
Ac2 Ac 0.333 0.167 0.750
Ca2 Ca 0.000 0.500 0.000
Tl2 Tl 0.333 0.167 0.250
# energy of formation	-0.34	eV/atom
# space group	No. 194
# energy above the lowest structure with this stoichiometry	0.00	kcal/mol of atoms
# M_tot	0.00	μB per formula unit

Entry 4:
# CaAcTl (GGA-PBE, optimized geometry)
data_CaAcTl
_chemical_formula_sum 'Ca2 Ac2 Tl2'
_symmetry_space_group_name_H-M 'P 1'
_symmetry_Int_Tables_number 1
_symmetry_space_group_name_Hall 'P 1'
_cell_length_a 5.377
_cell_length_b 7.116
_cell_length_c 7.116
_cell_angle_alpha 94.30
_cell_angle_beta 90.00
_cell_angle_gamma 90.00
loop_
_atom_site_label
_atom_site_type_symbol
_atom_site_fract_x
_atom_site_fract_y
_atom_site_fract_z
Ac1 Ac 0.500 0.813 0.187
Ac2 Ac 0.500 0.187 0.813
Tl1 Tl 0.500 0.500 0.500
Tl2 Tl 0.000 0.000 0.000
Ca1 Ca 0.000 0.316 0.316
Ca2 Ca 0.000 0.684 0.684
# energy of formation	-0.01	eV/atom
# space group	No. 65
# energy above the lowest structure with this stoichiometry	7.64	kcal/mol of atoms
# M_tot	0.00	μB per formula unit

Entry 5:
# CaAcTl (GGA-PBE, optimized geometry)
data_CaAcTl
_chemical_formula_sum 'Ca1 Ac1 Tl1'
_symmetry_space_group_name_H-M 'P 1'
_symmetry_Int_Tables_number 1
_symmetry_space_group_name_Hall 'P 1'
_cell_length_a 4.069
_cell_length_b 5.535
_cell_length_c 5.535
_cell_angle_alpha 120.00
_cell_angle_beta 90.00
_cell_angle_gamma 90.00
loop_
_atom_site_label
_atom_site_type_symbol
_atom_site_fract_x
_atom_site_fract_y
_atom_site_fract_z
Tl1 Tl 0.505 0.667 0.333
Ac1 Ac 0.998 0.000 0.000
Ca1 Ca 0.497 0.333 0.667
# energy of formation	-0.20	eV/atom
# space group	No. 156
# energy above the lowest structure with this stoichiometry	3.14	kcal/mol of atoms
# M_tot	0.02	μB per formula unit

Entry 6:
# CaAc3Tl5 (GGA-PBE, optimized geometry)
data_CaAc3Tl5
_chemical_formula_sum 'Ca2 Ac6 Tl10'
_symmetry_space_group_name_H-M 'P 1'
_symmetry_Int_Tables_number 1
_symmetry_space_group_name_Hall 'P 1'
_cell_length_a 7.044
_cell_length_b 9.979
_cell_length_c 9.979
_cell_angle_alpha 120.00
_cell_angle_beta 90.00
_cell_angle_gamma 90.00
loop_
_atom_site_label
_atom_site_type_symbol
_atom_site_fract_x
_atom_site_fract_y
_atom_site_fract_z
Ca1 Ca 0.000 0.000 0.000
Ac1 Ac 0.750 0.633 0.633
Tl1 Tl 0.750 0.000 0.700
Tl2 Tl 0.250 0.700 0.700
Ac2 Ac 0.750 0.000 0.367
Tl3 Tl 0.500 0.333 0.667
Tl4 Tl 0.500 0.667 0.333
Ac3 Ac 0.250 0.000 0.633
Ac4 Ac 0.250 0.367 0.367
Tl5 Tl 0.000 0.333 0.667
Tl6 Tl 0.250 0.300 0.000
Ac5 Ac 0.750 0.367 0.000
Tl7 Tl 0.250 0.000 0.300
Ca2 Ca 0.500 0.000 0.000
Tl8 Tl 0.000 0.667 0.333
Tl9 Tl 0.750 0.700 0.000
Tl10 Tl 0.750 0.300 0.300
Ac6 Ac 0.250 0.633 0.000
# energy of formation	-0.34	eV/atom
# space group	No. 193
# M_tot	0.00	μB per formula unit